The following is a PBE-GGA calculation of an optimized crystal structure of Dy6As3PSe2, from Alexandria.

Unit cell a=17.8270 b=4.0876 c=8.1775 alpha=90.00 beta=103.19 gamma=90.00
Space group C2/m (No. 12)
Asymmetric unit:
Dy (0.0024, 0.0000, 0.2586)
Dy (0.1627, 0.5000, 0.0899)
Dy (0.1628, 0.5000, 0.5747)
As (0.0000, 0.5000, 0.0000)
As (0.1688, 0.0000, 0.3341)
P (0.0000, 0.5000, 0.5000)
Se (0.1673, 0.0000, 0.8355)

Properties
formation energy without anion corrections = -1.68 eV/atom
DOS at the Fermi energy = 6.7 states/eV/cell